18
Lattice="3.8369 2.2152 5.6576 -3.8369 2.2152 5.6576 0.0000 -4.4304 5.6576" Properties=species:S:1:pos:R:3 comment="Rb2AcCo3F12 GGA+U optimized geometry" final_energy_ev_per_atom=-5.145 m_tot_mub_per_cell=10.00 pbc="T T T"
Rb 0.0000 0.0000 1.8669
Rb 0.0000 0.0000 15.1059
Ac 0.0000 0.0000 8.4864
Co -1.9184 -1.1076 5.6576
Co -1.9184 1.1076 11.3152
Co 0.0000 2.2152 5.6576
F -2.0747 -1.1978 7.6149
F 0.0000 -1.6334 6.0502
F -1.4146 0.8167 6.0502
F 0.0000 -2.3957 9.3578
F -2.0747 1.1978 9.3578
F -1.4146 -0.8167 10.9226
F 1.4145 0.8167 6.0502
F 2.0747 -1.1979 7.6149
F 0.0000 2.3957 7.6149
F 1.4145 -0.8167 10.9226
F 0.0000 1.6334 10.9226
F 2.0747 1.1978 9.3578